Compound: Se2SBrF
Source: the Alexandria database
Functional: PBE-GGA
Structure: optimized geometry

Lattice parameters (Å, degrees): 4.9009 4.9009 5.0058 90.00 90.00 90.00
Positions (direct):
S: 0.0000 0.0000 0.0000
Se: 0.0000 0.5000 0.0000
Se: 0.5000 0.0000 0.0000
Br: 0.0000 0.0000 0.5000
F: 0.5000 0.5000 0.5000

E	-12.18	eV per cell
calculated density	3990	kg/m³
relative energy among the computed polymorphs	0	meV per atom



Compound: InOsAu2
Source: the Alexandria database
Functional: PBE-GGA
Structure: optimized geometry

Lattice parameters (Å, degrees): 2.9055 2.9055 9.6721 90.00 90.00 118.21
Positions (direct):
Au: 0.0000 0.0000 0.9928
Au: 0.5000 0.5000 0.2482
In: 0.0000 0.0000 0.5090
Os: 0.5000 0.5000 0.7500

energy relative to the elements	0.476	eV/atom
E	-18.62	eV per cell
calculated density	16132	kg/m³



Compound: Mg2In
Source: the Alexandria database
Functional: PBE-GGA
Structure: optimized geometry

Lattice parameters (Å, degrees): 3.3529 5.0560 8.3735 90.00 102.00 90.00
Positions (direct):
Mg: 0.2236 0.2500 0.9494
Mg: 0.7764 0.7500 0.0506
Mg: 0.5566 0.2500 0.6158
Mg: 0.4434 0.7500 0.3842
In: 0.8888 0.2500 0.2769
In: 0.1112 0.7500 0.7231

energy relative to the elements	-0.075	eV/atom
E	-12.31	eV per cell
calculated density	3909	kg/m³



Compound: KMgZr2Sb
Source: the Alexandria database
Functional: PBE-GGA
Structure: optimized geometry

Lattice parameters (Å, degrees): 4.9452 5.6294 4.9452 90.00 90.00 90.00
Positions (direct):
Sb: 0.0000 0.5000 0.0000
K: 0.0000 0.0000 0.0000
Mg: 0.5000 0.5000 0.5000
Zr: 0.0000 0.0000 0.5000
Zr: 0.5000 0.0000 0.0000

E	-16.12	eV per cell
calculated density	4434	kg/m³



Compound: ZrReSi2
Source: the Alexandria database
Functional: PBE-GGA
Structure: optimized geometry

Lattice parameters (Å, degrees): 3.3923 4.6768 3.9967 90.00 90.00 90.00
Positions (direct):
Re: 0.0000 0.5000 0.5000
Si: 0.0000 0.0000 0.0000
Si: 0.5000 0.5000 0.0000
Zr: 0.5000 0.0000 0.5000

E	-32.53	eV per cell
calculated density	8736	kg/m³



Compound: Be3Hg
Source: the Alexandria database
Functional: PBE-GGA
Structure: optimized geometry

Lattice parameters (Å, degrees): 4.7236 4.7236 4.7236 145.34 124.73 66.90
Positions (direct):
Be: 0.9998 0.9941 0.0057
Be: 0.5117 0.5059 0.0057
Be: 0.9127 0.2500 0.6627
Hg: 0.4092 0.7500 0.6592

energy relative to the elements	0.507	eV/atom
E	-9.45	eV per cell
calculated density	7778	kg/m³
relative energy among the computed polymorphs	242	meV per atom



Compound: HoPuPd14
Source: the Alexandria database
Functional: PBE-GGA
Structure: optimized geometry

Lattice parameters (Å, degrees): 5.7863 5.7863 7.8842 90.00 90.00 90.00
Positions (direct):
Ho: 0.8750 0.8750 0.5000
Pu: 0.3750 0.3750 0.5000
Pd: 0.8750 0.8750 0.0000
Pd: 0.3750 0.3750 0.0000
Pd: 0.8750 0.3750 0.5000
Pd: 0.8750 0.3750 0.0000
Pd: 0.3750 0.8750 0.5000
Pd: 0.3750 0.8750 0.0000
Pd: 0.6244 0.1256 0.2433
Pd: 0.6244 0.1256 0.7567
Pd: 0.1256 0.6244 0.2433
Pd: 0.1256 0.6244 0.7567
Pd: 0.6244 0.6244 0.2433
Pd: 0.6244 0.6244 0.7567
Pd: 0.1256 0.1256 0.2433
Pd: 0.1256 0.1256 0.7567

energy relative to the elements	-0.355	eV/atom
E	-97.29	eV per cell
calculated density	11945	kg/m³



Compound: Nd2AlSi3Rh4
Source: the Alexandria database
Functional: PBE-GGA
Structure: optimized geometry

Lattice parameters (Å, degrees): 4.1819 4.1819 10.0189 90.00 90.00 90.00
Positions (direct):
Nd: 0.5000 0.0000 0.2504
Nd: 0.0000 0.5000 0.7496
Al: 0.5000 0.5000 0.5000
Si: 0.0000 0.0000 0.5000
Si: 0.5000 0.0000 0.8738
Si: 0.0000 0.5000 0.1262
Rh: 0.5000 0.5000 0.0000
Rh: 0.0000 0.0000 0.0000
Rh: 0.5000 0.0000 0.6329
Rh: 0.0000 0.5000 0.3671

E	-69.21	eV per cell
calculated density	7689	kg/m³



Compound: RbTlAuS2
Source: the Alexandria database
Functional: PBE-GGA
Structure: optimized geometry

Lattice parameters (Å, degrees): 6.0609 7.2371 7.8489 117.45 90.00 90.00
Positions (direct):
Rb: 0.2390 0.7500 0.5000
Rb: 0.7610 0.2500 0.5000
Tl: 0.5000 0.7500 0.0000
Tl: 0.5000 0.2500 0.0000
Au: 0.0000 0.0000 0.0000
Au: 0.0000 0.5000 0.0000
S: 0.7433 0.8759 0.7518
S: 0.7433 0.6241 0.2482
S: 0.2567 0.3759 0.7518
S: 0.2567 0.1241 0.2482

E	-34.40	eV per cell
calculated density	5989	kg/m³



Compound: AlTlHg3
Source: the Alexandria database
Functional: PBE-GGA
Structure: optimized geometry

Lattice parameters (Å, degrees): 5.7233 5.7233 5.7233 90.00 90.00 90.00
Positions (direct):
Tl: 0.0000 0.0000 0.0000
Hg: 0.0000 0.5000 0.0000
Hg: 0.0000 0.0000 0.5000
Hg: 0.5000 0.0000 0.0000
Al: 0.5000 0.5000 0.5000

energy relative to the elements	0.548	eV/atom
E	-4.27	eV per cell
calculated density	7380	kg/m³
relative energy among the computed polymorphs	462	meV per atom



Compound: Cu4TcMo
Source: the Alexandria database
Functional: PBE-GGA
Structure: optimized geometry

Lattice parameters (Å, degrees): 4.7638 4.7638 4.7638 60.00 60.00 60.00
Positions (direct):
Cu: 0.6251 0.6251 0.1247
Cu: 0.6251 0.1247 0.6251
Cu: 0.6251 0.6251 0.6251
Cu: 0.1247 0.6251 0.6251
Tc: 0.0000 0.0000 0.0000
Mo: 0.2500 0.2500 0.2500

energy relative to the elements	0.172	eV/atom
E	-36.55	eV per cell
calculated density	9734	kg/m³



Compound: TbZnSnHg
Source: the Alexandria database
Functional: PBE-GGA
Structure: optimized geometry

Lattice parameters (Å, degrees): 5.1063 5.1063 5.1063 60.00 60.00 60.00
Positions (direct):
Zn: 0.5000 0.5000 0.5000
Tb: 0.7500 0.7500 0.7500
Hg: 0.0000 0.0000 0.0000
Sn: 0.2500 0.2500 0.2500

energy relative to the elements	-0.223	eV/atom
E	-11.10	eV per cell
calculated density	9589	kg/m³



Compound: Ta2CuTcH
Source: the Alexandria database
Functional: PBE-GGA
Structure: optimized geometry

Lattice parameters (Å, degrees): 4.1996 4.1996 3.6363 90.00 90.00 90.00
Positions (direct):
H: 0.0000 0.0000 0.0000
Tc: 0.5000 0.5000 0.5000
Cu: 0.0000 0.0000 0.5000
Ta: 0.0000 0.5000 0.0000
Ta: 0.5000 0.0000 0.0000

E	-41.66	eV per cell
calculated density	13579	kg/m³
relative energy among the computed polymorphs	0	meV per atom



Compound: CuNiSe2Br
Source: the Alexandria database
Functional: PBE-GGA
Structure: optimized geometry

Lattice parameters (Å, degrees): 4.6691 4.6691 5.0268 90.00 90.00 90.00
Positions (direct):
Ni: 0.0000 0.0000 0.0000
Cu: 0.5000 0.5000 0.5000
Se: 0.0000 0.5000 0.0000
Se: 0.5000 0.0000 0.0000
Br: 0.0000 0.0000 0.5000

E	-16.01	eV per cell
calculated density	5456	kg/m³
relative energy among the computed polymorphs	0	meV per atom



Compound: Ac4Nd5Dy
Source: the Alexandria database
Functional: PBE-GGA
Structure: optimized geometry

Lattice parameters (Å, degrees): 3.8391 3.8391 26.1806 90.00 90.00 90.00
Positions (direct):
Ac: 0.0000 0.0000 0.1939
Ac: 0.0000 0.0000 0.3981
Ac: 0.0000 0.0000 0.6019
Ac: 0.0000 0.0000 0.8061
Nd: 0.5000 0.5000 0.0914
Nd: 0.5000 0.5000 0.2961
Nd: 0.5000 0.5000 0.5000
Nd: 0.5000 0.5000 0.7039
Nd: 0.5000 0.5000 0.9086
Dy: 0.0000 0.0000 0.0000

energy relative to the elements	0.037	eV/atom
E	-44.51	eV per cell
calculated density	7711	kg/m³



Compound: MgInTe4
Source: the Alexandria database
Functional: PBE-GGA
Structure: optimized geometry

Lattice parameters (Å, degrees): 6.4673 6.4673 6.4673 60.00 60.00 60.00
Positions (direct):
Mg: 0.0000 0.0000 0.0000
In: 0.7500 0.7500 0.7500
Te: 0.8774 0.3742 0.3742
Te: 0.3742 0.3742 0.8774
Te: 0.3742 0.8774 0.3742
Te: 0.3742 0.3742 0.3742

E	-15.77	eV per cell
calculated density	5639	kg/m³



Compound: Ac4IrRh2
Source: the Alexandria database
Functional: PBE-GGA
Structure: optimized geometry

Lattice parameters (Å, degrees): 8.3828 8.3829 8.3822 116.48 107.55 104.64
Positions (direct):
Ac: 0.9220 0.2055 0.2835
Ac: 0.3280 0.5445 0.2164
Ac: 0.9219 0.6384 0.7164
Ac: 0.8017 0.1002 0.7016
Ac: 0.3986 0.1001 0.2984
Ac: 0.3281 0.1116 0.7836
Ac: 0.4483 0.6497 0.7983
Ac: 0.8514 0.6499 0.2016
Ir: 0.1624 0.6624 0.5000
Ir: 0.0876 0.0876 0.0000
Rh: 0.6250 0.3750 0.7500
Rh: 0.6250 0.8750 0.2500
Rh: 0.6250 0.3750 0.2500
Rh: 0.1250 0.3750 0.7500

energy relative to the elements	-0.588	eV/atom
E	-88.23	eV per cell
calculated density	9681	kg/m³
relative energy among the computed polymorphs	34	meV per atom



Compound: LiCe2PbSe4
Source: the Alexandria database
Functional: PBE-GGA
Structure: optimized geometry

Lattice parameters (Å, degrees): 8.5268 8.5268 8.4762 119.80 119.80 89.80
Positions (direct):
Li: 0.5000 0.5000 0.5000
Li: 0.0000 0.0000 0.0000
Ce: 0.5000 0.0000 0.0000
Ce: 0.5000 0.0000 0.5000
Ce: 0.0000 0.0000 0.5000
Ce: 0.5000 0.5000 0.0000
Pb: 0.0000 0.5000 0.0000
Pb: 0.0000 0.5000 0.5000
Se: 0.2547 0.7610 0.0078
Se: 0.7390 0.2453 0.4922
Se: 0.2610 0.7547 0.5078
Se: 0.7453 0.2390 0.9922
Se: 0.7464 0.7541 0.9977
Se: 0.7459 0.7536 0.5023
Se: 0.2541 0.2464 0.4977
Se: 0.2536 0.2459 0.0023

E	-84.21	eV per cell
calculated density	6127	kg/m³



Compound: Nd8DyEr4
Source: the Alexandria database
Functional: PBE-GGA
Structure: optimized geometry

Lattice parameters (Å, degrees): 7.2684 7.2684 10.5303 90.00 110.19 120.00
Positions (direct):
Nd: 0.5750 0.7875 0.3625
Nd: 0.4250 0.2125 0.6375
Nd: 0.4972 0.2486 0.2900
Nd: 0.9586 0.2072 0.7100
Nd: 0.5028 0.7514 0.7100
Nd: 0.9586 0.7514 0.7100
Nd: 0.0414 0.2486 0.2900
Nd: 0.0414 0.7928 0.2900
Dy: 0.0000 0.5000 0.5000
Er: 0.0000 0.0000 0.0000
Er: 0.0000 0.5000 0.0000
Er: 0.5000 0.5000 0.0000
Er: 0.5000 0.0000 0.0000

energy relative to the elements	0.193	eV/atom
E	-58.49	eV per cell
calculated density	7461	kg/m³



Compound: Sm3Ga9Rh2
Source: the Alexandria database
Functional: PBE-GGA
Structure: optimized geometry

Lattice parameters (Å, degrees): 4.2970 8.2110 8.2110 71.16 74.83 74.83
Positions (direct):
Sm: 0.0000 0.0000 0.0000
Sm: 0.6997 0.3003 0.3003
Sm: 0.3003 0.6997 0.6997
Ga: 0.0000 0.5000 0.5000
Ga: 0.6550 0.9822 0.7078
Ga: 0.3450 0.0178 0.2922
Ga: 0.6550 0.7078 0.9822
Ga: 0.3450 0.2922 0.0178
Ga: 0.8668 0.8520 0.4143
Ga: 0.1332 0.1480 0.5857
Ga: 0.8668 0.4143 0.8520
Ga: 0.1332 0.5857 0.1480
Rh: 0.5000 0.3192 0.6808
Rh: 0.5000 0.6808 0.3192

energy relative to the elements	-0.680	eV/atom
E	-65.63	eV per cell
calculated density	8216	kg/m³



Compound: Tl2CdSb
Source: the Alexandria database
Functional: PBE-GGA
Structure: optimized geometry

Lattice parameters (Å, degrees): 6.3995 6.3995 3.1987 89.99 89.99 117.96
Positions (direct):
Sb: 0.0000 0.5000 0.5000
Tl: 0.0000 0.0000 0.0000
Tl: 0.5000 0.5000 0.0000
Cd: 0.5000 0.0000 0.5000

E	-9.56	eV per cell
calculated density	9227	kg/m³
relative energy among the computed polymorphs	47	meV per atom



Compound: MgMn6Ge6
Source: the Alexandria database
Functional: PBE-GGA
Structure: optimized geometry

Lattice parameters (Å, degrees): 5.1542 5.1542 8.0543 90.00 90.00 120.00
Positions (direct):
Mg: 0.0000 0.0000 0.0000
Mn: 0.5000 0.0000 0.2499
Mn: 0.5000 0.0000 0.7501
Mn: 0.0000 0.5000 0.2499
Mn: 0.0000 0.5000 0.7501
Mn: 0.5000 0.5000 0.2499
Mn: 0.5000 0.5000 0.7501
Ge: 0.0000 0.0000 0.3341
Ge: 0.0000 0.0000 0.6659
Ge: 0.3333 0.6667 0.5000
Ge: 0.6667 0.3333 0.5000
Ge: 0.3333 0.6667 0.0000
Ge: 0.6667 0.3333 0.0000

energy relative to the elements	-0.161	eV/atom
E	-86.41	eV per cell
calculated density	7077	kg/m³



Compound: Si3OsF
Source: the Alexandria database
Functional: PBE-GGA
Structure: optimized geometry

Lattice parameters (Å, degrees): 4.1198 4.1198 4.1198 90.00 90.00 90.00
Positions (direct):
Si: 0.0000 0.5000 0.0000
Si: 0.0000 0.0000 0.5000
Si: 0.5000 0.0000 0.0000
Os: 0.5000 0.5000 0.5000
F: 0.0000 0.0000 0.0000

E	-26.20	eV per cell
calculated density	6970	kg/m³
relative energy among the computed polymorphs	721	meV per atom



Compound: TbEr3Cd4
Source: the Alexandria database
Functional: PBE-GGA
Structure: optimized geometry

Lattice parameters (Å, degrees): 5.2422 7.5170 10.4839 90.00 90.00 90.00
Positions (direct):
Cd: 0.5000 0.7530 0.0000
Cd: 0.5000 0.7530 0.5000
Cd: 0.5000 0.2470 0.0000
Cd: 0.5000 0.2470 0.5000
Cd: 0.0007 0.7529 0.7500
Cd: 0.9993 0.7529 0.2500
Cd: 0.9993 0.2471 0.2500
Cd: 0.0007 0.2471 0.7500
Tb: 0.0000 0.5000 0.0000
Tb: 0.0000 0.5000 0.5000
Er: 0.0000 0.0000 0.0000
Er: 0.0000 0.0000 0.5000
Er: 0.5004 0.0000 0.7500
Er: 0.4996 0.0000 0.2500
Er: 0.5004 0.5000 0.7500
Er: 0.4996 0.5000 0.2500

energy relative to the elements	-0.317	eV/atom
E	-49.04	eV per cell
calculated density	8926	kg/m³